No. 1
The following is a PBE calculation of a geometry-optimized Pr2SmOsN4 structure, from Alexandria via LeMat-Bulk.

a = 3.493 Å, b = 12.098 Å, c = 12.290 Å
α = 90.00°, β = 90.00°, γ = 90.00°
Space group Cmcm (No. 63)
Asymmetric unit:
Pr: 0.000 0.132 0.041 x8
Sm: 0.000 0.375 0.250 x4
Os: 0.000 0.353 0.750 x4
N: 0.000 0.070 0.250 x4
N: 0.000 0.226 0.639 x8
N: 0.000 0.500 0.000 x4

=====

No. 2
The following is a PBE calculation of a geometry-optimized Sr2PrOs2N6 structure, from Alexandria via LeMat-Bulk.

a = 6.0245 Å, b = 6.0245 Å, c = 18.5976 Å
α = 90.00°, β = 90.00°, γ = 120.00°
Space group R-3m (No. 166, hexagonal axes)
Asymmetric unit:
Sr: 0.0000 0.0000 0.2090 x6
Pr: 0.0000 0.0000 0.0000 x3
Os: 0.0000 0.0000 0.4047 x6
N: 0.0013 0.5007 0.2400 x18

=====

no.,DFT total energy (eV per atom),density of states at the Fermi level (states/eV per cell),uncorrected formation energy (meV/atom)
1,-8.090,6.01,-739.2
2,-7.711,11.79,-387.4